## La2CrWO (PBE+U)

Data for a relaxed La2CrWO crystal.

Unit cell a=6.0952 b=3.8709 c=6.0952 alpha=90.00 beta=90.00 gamma=90.00
With the nearest neighbours (Å) after each atom.
Fractional coordinates of all 5 atoms:
O: 0.0000 0.5000 0.0000  2 W 1.94
La: 0.0000 0.0000 0.5000  2 W 3.05
W: 0.0000 0.0000 0.0000  2 O 1.94
Cr: 0.5000 0.5000 0.5000  8 La 3.61, 2 Cr 3.87
La: 0.5000 0.0000 0.0000  2 W 3.05

Energy relative to the lowest polymorph listed for this composition   0.725 eV/atom